#a
The following is a DFT calculation (PBE) of a relaxed La3YTm2 crystal.

## Properties
- size of the total moment (μB per atom) = 0.000
- DOS(E_F) (states/eV per atom) = 1.801

a b c (Å): 3.556 6.910 17.767
angles (deg): 79.75 84.26 75.09
Atoms (fractional coordinates):
Tm (0.632, 0.238, 0.498)
Tm (0.368, 0.762, 0.502)
La (0.066, 0.038, 0.831)
La (0.732, 0.874, 0.661)
La (0.374, 0.263, 0.989)
Tm (0.802, 0.561, 0.834)
Y (0.457, 0.407, 0.680)
Y (0.543, 0.593, 0.320)
Tm (0.198, 0.439, 0.166)
La (0.268, 0.126, 0.339)
La (0.934, 0.962, 0.169)
La (0.626, 0.737, 0.011)

#b
The following is a DFT calculation (PBE) of a relaxed La3YTm2 crystal.

## Properties
- size of the total moment (μB per atom) = 0.001
- DOS(E_F) (states/eV per atom) = 1.680

a b c (Å): 3.479 6.001 10.457
angles (deg): 106.67 99.58 90.00
Atoms (fractional coordinates):
La (0.000, 0.500, 0.000)
Tm (0.637, 0.637, 0.275)
La (0.812, 0.812, 0.624)
La (0.188, 0.188, 0.376)
Tm (0.363, 0.363, 0.725)
Y (0.000, 0.000, 0.000)

Relative energies with respect to the most stable structure, expressed in meV/atom: #a 0; #b 209.

#a
The following is a DFT calculation (PBE) of a relaxed La4Y2Tm crystal.

## Properties
- size of the total moment (μB per atom) = 0.000
- DOS(E_F) (states/eV per atom) = 1.760

a b c (Å): 12.773 12.773 6.883
angles (deg): 97.01 97.00 150.29
Atoms (fractional coordinates):
La (0.600, 0.563, 0.644)
Tm (0.418, 0.668, 0.500)
Y (0.105, 0.921, 0.544)
La (0.191, 0.799, 0.904)
Y (0.627, 0.311, 0.457)
La (0.145, 0.037, 0.096)
La (0.563, 0.600, 0.144)
Y (0.311, 0.627, 0.957)
Y (0.921, 0.105, 0.044)
La (0.707, 0.170, 0.857)
Tm (0.668, 0.418, 0.000)
La (0.037, 0.145, 0.596)
La (0.799, 0.191, 0.404)
La (0.170, 0.707, 0.357)

#b
The following is a DFT calculation (PBE) of a relaxed La4Y2Tm crystal.

## Properties
- size of the total moment (μB per atom) = 0.000
- DOS(E_F) (states/eV per atom) = 1.748

a b c (Å): 6.107 6.249 7.286
angles (deg): 115.39 90.00 90.00
Atoms (fractional coordinates):
Y (0.500, 0.113, 0.225)
Y (0.500, 0.887, 0.775)
La (0.500, 0.365, 0.731)
La (0.500, 0.635, 0.269)
Tm (0.000, 0.500, 0.000)
La (0.000, 0.809, 0.618)
La (0.000, 0.191, 0.382)

Relative energies with respect to the most stable structure, expressed in meV/atom: #a 0; #b 396.

#a
The following is a DFT calculation (PBE) of a relaxed La4Y5Tm crystal.

## Properties
- size of the total moment (μB per atom) = 0.000
- DOS(E_F) (states/eV per atom) = 1.140

a b c (Å): 5.751 10.880 10.881
angles (deg): 90.00 90.00 90.00
Atoms (fractional coordinates):
La (0.621, 0.000, 0.705)
Y (0.149, 0.159, 0.159)
La (0.621, 0.295, 0.000)
La (0.621, 0.000, 0.295)
Y (0.149, 0.841, 0.841)
Y (0.851, 0.341, 0.341)
Y (0.000, 0.500, 0.000)
Y (0.851, 0.659, 0.341)
La (0.621, 0.705, 0.000)
Y (0.851, 0.659, 0.659)
Tm (0.386, 0.500, 0.500)
Y (0.851, 0.341, 0.659)
Y (0.149, 0.159, 0.841)
Tm (0.614, 0.000, 0.000)
La (0.379, 0.500, 0.795)
La (0.379, 0.205, 0.500)
Y (0.149, 0.841, 0.159)
La (0.379, 0.795, 0.500)
Y (0.000, 0.000, 0.500)
La (0.379, 0.500, 0.205)

#b
The following is a DFT calculation (PBE) of a relaxed La4Y5Tm crystal.

## Properties
- size of the total moment (μB per atom) = 0.000
- DOS(E_F) (states/eV per atom) = 1.341

a b c (Å): 3.607 10.883 9.298
angles (deg): 101.67 101.18 90.00
Atoms (fractional coordinates):
La (0.022, 0.262, 0.044)
Y (0.168, 0.530, 0.336)
Y (0.500, 0.500, 0.000)
Y (0.161, 0.914, 0.323)
Tm (0.500, 0.000, 0.000)
Y (0.832, 0.470, 0.664)
La (0.323, 0.774, 0.646)
La (0.677, 0.226, 0.354)
La (0.978, 0.738, 0.956)
Y (0.839, 0.086, 0.677)

Relative energies with respect to the most stable structure, expressed in meV/atom: #a 0; #b 37.

#a
The following is a DFT calculation (PBE) of a relaxed LaY8Tm2 crystal.

## Properties
- size of the total moment (μB per atom) = 0.000
- DOS(E_F) (states/eV per atom) = 1.789

a b c (Å): 5.540 10.263 10.263
angles (deg): 39.77 92.65 92.65
Atoms (fractional coordinates):
Y (0.762, 0.453, 0.453)
Tm (0.248, 0.715, 0.715)
Y (0.765, 0.810, 0.810)
Y (0.732, 0.868, 0.403)
Y (0.732, 0.403, 0.868)
La (0.000, 0.000, 0.000)
Y (0.235, 0.190, 0.190)
Y (0.268, 0.597, 0.132)
Y (0.238, 0.547, 0.547)
Tm (0.752, 0.285, 0.285)
Y (0.268, 0.132, 0.597)

#b
The following is a DFT calculation (PBE) of a relaxed LaY8Tm2 crystal.

## Properties
- size of the total moment (μB per atom) = 0.000
- DOS(E_F) (states/eV per atom) = 1.603

a b c (Å): 5.502 8.187 9.433
angles (deg): 115.72 106.95 90.00
Atoms (fractional coordinates):
Y (0.642, 0.849, 0.284)
Tm (0.199, 0.699, 0.398)
Y (0.835, 0.835, 0.671)
Y (0.000, 0.703, 0.000)
Y (0.358, 0.151, 0.716)
Y (0.358, 0.565, 0.716)
Y (0.165, 0.165, 0.329)
La (0.500, 0.000, 0.000)
Y (0.642, 0.435, 0.284)
Y (0.000, 0.297, 0.000)
Tm (0.801, 0.301, 0.602)

Relative energies with respect to the most stable structure, expressed in meV/atom: #a 12; #b 0.

#a
The following is a DFT calculation (PBE) of a relaxed La2YTm8 crystal.

## Properties
- size of the total moment (μB per atom) = 0.000
- DOS(E_F) (states/eV per atom) = 1.573

a b c (Å): 5.023 7.926 9.383
angles (deg): 104.65 105.53 90.00
Atoms (fractional coordinates):
Tm (0.589, 0.454, 0.177)
Tm (0.681, 0.907, 0.361)
La (0.773, 0.362, 0.545)
Tm (0.319, 0.093, 0.639)
Tm (0.043, 0.727, 0.087)
Tm (0.135, 0.175, 0.269)
Tm (0.411, 0.546, 0.823)
La (0.227, 0.638, 0.455)
Tm (0.865, 0.825, 0.731)
Tm (0.957, 0.273, 0.913)
Y (0.500, 0.000, 0.000)

#b
The following is a DFT calculation (PBE) of a relaxed La2YTm8 crystal.

## Properties
- size of the total moment (μB per atom) = 0.000
- DOS(E_F) (states/eV per atom) = 1.428

a b c (Å): 6.552 6.632 8.904
angles (deg): 99.57 111.59 90.00
Atoms (fractional coordinates):
Tm (0.174, 0.600, 0.830)
Tm (0.656, 0.600, 0.830)
Tm (0.802, 0.188, 0.603)
Tm (0.344, 0.400, 0.170)
Y (0.000, 0.000, 0.000)
Tm (0.198, 0.812, 0.397)
Tm (0.588, 0.910, 0.177)
La (0.752, 0.680, 0.504)
La (0.248, 0.320, 0.496)
Tm (0.412, 0.090, 0.823)
Tm (0.826, 0.400, 0.170)

Relative energies with respect to the most stable structure, expressed in meV/atom: #a 0; #b 145.

#a
The following is a DFT calculation (PBE) of a relaxed La5YTm crystal.

## Properties
- size of the total moment (μB per atom) = 0.000
- DOS(E_F) (states/eV per atom) = 1.584

a b c (Å): 6.265 9.419 9.197
angles (deg): 86.30 78.82 70.58
Atoms (fractional coordinates):
La (0.018, 0.371, 0.352)
La (0.544, 0.699, 0.466)
La (0.982, 0.629, 0.648)
Y (0.000, 0.000, 0.500)
La (0.139, 0.723, 0.250)
La (0.243, 0.301, 0.966)
La (0.861, 0.277, 0.750)
La (0.757, 0.699, 0.034)
Tm (0.490, 0.021, 0.250)
La (0.456, 0.301, 0.534)
La (0.611, 0.371, 0.148)
La (0.389, 0.629, 0.852)
Tm (0.510, 0.979, 0.750)
Y (0.000, 0.000, 0.000)

#b
The following is a DFT calculation (PBE) of a relaxed La5YTm crystal.

## Properties
- size of the total moment (μB per atom) = 0.000
- DOS(E_F) (states/eV per atom) = 1.500

a b c (Å): 8.986 8.986 13.444
angles (deg): 45.92 45.92 44.08
Atoms (fractional coordinates):
Y (0.764, 0.236, 0.250)
La (0.239, 0.761, 0.250)
La (0.251, 0.253, 0.907)
La (0.761, 0.239, 0.750)
Y (0.236, 0.764, 0.750)
La (0.672, 0.663, 0.906)
La (0.253, 0.251, 0.407)
La (0.747, 0.749, 0.593)
La (0.337, 0.328, 0.594)
La (0.663, 0.672, 0.406)
La (0.749, 0.747, 0.093)
Tm (0.000, 0.000, 0.000)
Tm (0.000, 0.000, 0.500)
La (0.328, 0.337, 0.094)

Relative energies with respect to the most stable structure, expressed in meV/atom: #a 35; #b 0.

#a
The following is a DFT calculation (PBE) of a relaxed La3YTm crystal.

## Properties
- size of the total moment (μB per atom) = 0.000
- DOS(E_F) (states/eV per atom) = 1.221

a b c (Å): 6.527 10.420 10.420
angles (deg): 82.41 90.03 90.03
Atoms (fractional coordinates):
La (0.750, 0.958, 0.543)
Y (0.750, 0.590, 0.410)
La (0.250, 0.038, 0.753)
Y (0.250, 0.410, 0.590)
La (0.250, 0.247, 0.962)
La (0.250, 0.042, 0.457)
La (0.250, 0.542, 0.252)
La (0.750, 0.962, 0.247)
La (0.750, 0.753, 0.038)
La (0.750, 0.457, 0.042)
Tm (0.500, 0.746, 0.746)
Tm (0.000, 0.254, 0.254)
Y (0.750, 0.091, 0.909)
Tm (0.500, 0.254, 0.254)
Tm (0.000, 0.746, 0.746)
La (0.250, 0.543, 0.958)
La (0.750, 0.252, 0.542)
La (0.750, 0.458, 0.748)
Y (0.250, 0.909, 0.091)
La (0.250, 0.748, 0.458)

#b
The following is a DFT calculation (PBE) of a relaxed La3YTm crystal.

## Properties
- size of the total moment (μB per atom) = 0.000
- DOS(E_F) (states/eV per atom) = 1.565

a b c (Å): 3.608 11.171 17.681
angles (deg): 90.00 90.00 90.00
Atoms (fractional coordinates):
La (0.250, 0.555, 0.925)
La (0.250, 0.500, 0.250)
La (0.750, 0.945, 0.425)
La (0.750, 0.000, 0.750)
Y (0.250, 0.250, 0.727)
La (0.750, 0.555, 0.425)
Tm (0.749, 0.750, 0.602)
Y (0.750, 0.750, 0.273)
Y (0.750, 0.250, 0.227)
La (0.250, 0.445, 0.575)
La (0.250, 0.055, 0.575)
Tm (0.749, 0.250, 0.898)
La (0.750, 0.445, 0.075)
La (0.750, 0.500, 0.750)
La (0.250, 0.000, 0.250)
Tm (0.251, 0.750, 0.102)
Y (0.250, 0.750, 0.773)
Tm (0.251, 0.250, 0.398)
La (0.750, 0.055, 0.075)
La (0.250, 0.945, 0.925)

Relative energies with respect to the most stable structure, expressed in meV/atom: #a 29; #b 0.

#a
The following is a DFT calculation (PBE) of a relaxed La3YTm6 crystal.

## Properties
- size of the total moment (μB per atom) = 0.000
- DOS(E_F) (states/eV per atom) = 1.425

a b c (Å): 9.376 8.533 8.533
angles (deg): 95.90 90.00 90.00
Atoms (fractional coordinates):
La (0.950, 0.695, 0.917)
Tm (0.131, 0.369, 0.187)
La (0.352, 0.481, 0.519)
Tm (0.295, 0.080, 0.400)
Tm (0.130, 0.737, 0.263)
Tm (0.795, 0.920, 0.600)
La (0.950, 0.083, 0.305)
Tm (0.715, 0.013, 0.987)
Tm (0.295, 0.600, 0.920)
Y (0.035, 0.239, 0.761)
Tm (0.631, 0.631, 0.813)
La (0.450, 0.917, 0.695)
Y (0.535, 0.761, 0.239)
Tm (0.631, 0.187, 0.369)
Tm (0.131, 0.813, 0.631)
Tm (0.215, 0.987, 0.013)
Tm (0.630, 0.263, 0.737)
La (0.450, 0.305, 0.083)
La (0.852, 0.519, 0.481)
Tm (0.795, 0.400, 0.080)

#b
The following is a DFT calculation (PBE) of a relaxed La3YTm6 crystal.

## Properties
- size of the total moment (μB per atom) = 0.001
- DOS(E_F) (states/eV per atom) = 2.199

a b c (Å): 9.878 9.878 6.883
angles (deg): 44.14 44.14 60.00
Atoms (fractional coordinates):
Tm (0.427, 0.774, 0.705)
Tm (0.273, 0.925, 0.197)
La (0.103, 0.103, 0.692)
Tm (0.774, 0.095, 0.705)
Tm (0.925, 0.605, 0.197)
Y (0.850, 0.850, 0.449)
Tm (0.095, 0.427, 0.705)
La (0.598, 0.598, 0.206)
Tm (0.605, 0.273, 0.197)
La (0.350, 0.350, 0.949)

Relative energies with respect to the most stable structure, expressed in meV/atom: #a 0; #b 76.